[1]
This record from Alexandria via LeMat-Bulk describes crystalline HgHRh2 at its relaxed geometry. The functional is GGA-PBE.

a b c (Å): 9.629 3.096 3.813
angles (deg): 90.00 112.99 90.00
Space group Cm (No. 8)
Asymmetric unit:
Hg1 0.000 0.000 0.000
H1 0.239 0.500 0.204
Rh1 0.171 0.500 0.669
Rh2 0.335 0.000 0.339

* relative energy among the computed polymorphs: 0.91 kcal/mol of atoms



[2]
This record from Alexandria via LeMat-Bulk describes crystalline SiPbSeBr2 at its relaxed geometry. The functional is GGA-PBE.

a b c (Å): 5.662 5.662 5.651
angles (deg): 90.00 90.00 90.00
Space group P4/mmm (No. 123)
Asymmetric unit:
Si1 0.000 0.000 0.000
Pb1 0.500 0.500 0.500
Se1 0.500 0.500 0.000
Br1 0.000 0.500 0.500

* relative energy among the computed polymorphs: 13.64 kcal/mol of atoms
* uncorrected formation energy: 419 meV per atom